BaTa2W meta-GGA SCAN single point on PBEsol structure; energy above the lowest structure with this stoichiometry = 146 meV per atom; ΔH_f (0 K) = 892 meV/atom; D(E_F) = 3.72 states/eV/cell; raw total energy = -59.7095 eV/atom
1.0
-1.6427 2.1720 7.3477
1.6427 -2.1720 7.3477
1.6427 2.1720 -7.3477
Ba Ta W
1 2 1
Direct
0.0000 0.0000 0.0000
0.2775 0.7775 0.5000
0.6616 0.6616 0.0000
0.7939 0.2939 0.5000